Compound: Li4V4O3F9
Source: Alexandria via LeMat-Bulk
Functional: GGA+U
Structure: relaxed

Unit cell a=5.3582 b=5.6314 c=9.3150 alpha=84.09 beta=83.22 gamma=64.38
Space group P1 (No. 1)
One atom of each set of equivalent atoms:
Li1 0.0000 0.0000 0.0000 (multiplicity 1)
Li2 0.1822 0.4855 0.2233 (multiplicity 1)
Li3 0.4384 0.1423 0.9570 (multiplicity 1)
Li4 0.6513 0.9296 0.3940 (multiplicity 1)
V1 0.1456 0.9494 0.6301 (multiplicity 1)
V2 0.5427 0.5623 0.7769 (multiplicity 1)
V3 0.6829 0.5361 0.1156 (multiplicity 1)
V4 0.7564 0.3980 0.4528 (multiplicity 1)
O1 0.5574 0.7032 0.5699 (multiplicity 1)
O2 0.6574 0.3575 0.9525 (multiplicity 1)
O3 0.8005 0.6076 0.2908 (multiplicity 1)
F1 0.1034 0.2900 0.0841 (multiplicity 1)
F2 0.1352 0.2982 0.5263 (multiplicity 1)
F3 0.1645 0.6033 0.7536 (multiplicity 1)
F4 0.2794 0.7524 0.1304 (multiplicity 1)
F5 0.3030 0.9538 0.8318 (multiplicity 1)
F6 0.5455 0.2992 0.2870 (multiplicity 1)
F7 0.7225 0.2091 0.6755 (multiplicity 1)
F8 0.7505 0.8267 0.0022 (multiplicity 1)
F9 0.9513 0.9942 0.4394 (multiplicity 1)

Results
Raw total energy, eV/f.u.: -119.5
Total moment, μB per formula unit: 9.0

Compound: Li4VO3F2
Source: Alexandria via LeMat-Bulk
Functional: GGA+U
Structure: relaxed

Unit cell a=5.1570 b=5.1643 c=7.6625 alpha=104.39 beta=108.11 gamma=99.52
Space group P1 (No. 1)
One atom of each set of equivalent atoms:
Li1 0.0000 0.0000 0.0000 (multiplicity 1)
Li2 0.0160 0.4958 0.5092 (multiplicity 1)
Li3 0.1796 0.5101 0.8977 (multiplicity 1)
Li4 0.3727 0.4981 0.2847 (multiplicity 1)
Li5 0.5934 0.0133 0.1874 (multiplicity 1)
Li6 0.6137 0.5343 0.6983 (multiplicity 1)
Li7 0.7847 0.9901 0.6051 (multiplicity 1)
Li8 0.8022 0.4663 0.1067 (multiplicity 1)
V1 0.1774 0.0032 0.3781 (multiplicity 1)
V2 0.3416 0.0055 0.7871 (multiplicity 1)
O1 0.0013 0.2354 0.2600 (multiplicity 1)
O2 0.0032 0.7626 0.7471 (multiplicity 1)
O3 0.1801 0.2216 0.6313 (multiplicity 1)
O4 0.1939 0.7642 0.1715 (multiplicity 1)
O5 0.3897 0.7944 0.5603 (multiplicity 1)
O6 0.3973 0.2403 0.0224 (multiplicity 1)
F1 0.5664 0.2556 0.4386 (multiplicity 1)
F2 0.5713 0.7648 0.9333 (multiplicity 1)
F3 0.7805 0.2651 0.8438 (multiplicity 1)
F4 0.7926 0.7582 0.3367 (multiplicity 1)

Results
Raw total energy, eV/f.u.: -57.5
Total moment, μB per formula unit: 1.0

Compound: Li4V4O3F9
Source: Alexandria via LeMat-Bulk
Functional: GGA+U
Structure: relaxed

Unit cell a=5.1430 b=5.5861 c=9.1222 alpha=106.41 beta=90.38 gamma=116.99
Space group P1 (No. 1)
One atom of each set of equivalent atoms:
Li1 0.0000 0.0000 0.0000 (multiplicity 1)
Li2 0.2034 0.3707 0.7147 (multiplicity 1)
Li3 0.4630 0.9902 0.4926 (multiplicity 1)
Li4 0.7787 0.5238 0.2365 (multiplicity 1)
V1 0.0698 0.1277 0.3443 (multiplicity 1)
V2 0.3639 0.6254 0.0884 (multiplicity 1)
V3 0.5559 0.1343 0.8528 (multiplicity 1)
V4 0.7872 0.6104 0.5919 (multiplicity 1)
O1 0.3522 0.3167 0.5259 (multiplicity 1)
O2 0.3544 0.3478 0.9028 (multiplicity 1)
O3 0.7692 0.8560 0.1578 (multiplicity 1)
F1 0.2341 0.8306 0.2820 (multiplicity 1)
F2 0.2584 0.8640 0.6560 (multiplicity 1)
F3 0.3036 0.8669 0.9666 (multiplicity 1)
F4 0.3435 0.3491 0.2073 (multiplicity 1)
F5 0.7408 0.8701 0.8007 (multiplicity 1)
F6 0.7727 0.8708 0.4630 (multiplicity 1)
F7 0.8183 0.3442 0.7188 (multiplicity 1)
F8 0.8735 0.3768 0.3891 (multiplicity 1)
F9 0.8886 0.3605 0.0435 (multiplicity 1)

Results
Raw total energy, eV/f.u.: -121.1
Total moment, μB per formula unit: 9.0

Compound: Li3V4O3F9
Source: Alexandria via LeMat-Bulk
Functional: GGA+U
Structure: relaxed

Unit cell a=5.1514 b=5.5435 c=9.0399 alpha=106.55 beta=90.82 gamma=117.44
Space group P1 (No. 1)
One atom of each set of equivalent atoms:
Li1 0.0000 0.0000 0.0000 (multiplicity 1)
Li2 0.2107 0.4847 0.7576 (multiplicity 1)
Li3 0.4466 0.9402 0.4930 (multiplicity 1)
V1 0.2898 0.6021 0.1083 (multiplicity 1)
V2 0.5794 0.1131 0.8557 (multiplicity 1)
V3 0.7574 0.6153 0.6086 (multiplicity 1)
V4 0.9851 0.0720 0.3472 (multiplicity 1)
O1 0.5623 0.8323 0.6634 (multiplicity 1)
O2 0.5777 0.8388 0.2964 (multiplicity 1)
O3 0.9888 0.3434 0.9195 (multiplicity 1)
F1 0.0272 0.8392 0.4803 (multiplicity 1)
F2 0.0278 0.3253 0.2239 (multiplicity 1)
F3 0.0789 0.8427 0.1537 (multiplicity 1)
F4 0.0976 0.8366 0.7992 (multiplicity 1)
F5 0.4311 0.3070 0.4281 (multiplicity 1)
F6 0.4458 0.3135 0.0379 (multiplicity 1)
F7 0.5173 0.3482 0.7272 (multiplicity 1)
F8 0.5584 0.8323 0.9721 (multiplicity 1)
F9 0.9345 0.3357 0.5518 (multiplicity 1)

Results
Raw total energy, eV/f.u.: -117.1
Total moment, μB per formula unit: 8.0